# 1
This record from Alexandria via LeMat-Bulk describes a relaxed structure of Sm4Y4Er5. The functional is PBE-GGA.

For the total magnetization, the calculation gives 0.00 μB per formula unit. The calculation puts the formation energy from the elements at 0.02 eV/atom.

The structure belongs to space group I4/m (No. 87); the cell edges are 12.860, 12.860 and 5.032 Å and the angles 90.00°, 90.00° and 90.00°. The distinct sites, in fractional coordinates, are Sm at (0.077, 0.616, 0.000), Y at (0.153, 0.229, 0.000), Er at (0.000, 0.000, 0.000) and Er at (0.038, 0.810, 0.500).


# 2
This record from Alexandria via LeMat-Bulk describes a relaxed structure of LaPdAu2. The functional is PBE-GGA.

For the total magnetization, the calculation gives 0.00 μB per formula unit. The calculation puts the formation energy from the elements at -0.71 eV/atom.

The structure belongs to space group Pmmn (No. 59, origin choice 2); the cell edges are 5.258, 5.729 and 5.628 Å and the angles 90.00°, 90.00° and 90.00°. The distinct sites, in fractional coordinates, are La at (0.250, 0.250, 0.153), Pd at (0.250, 0.750, 0.197) and Au at (0.250, 0.501, 0.663).


# 3
This record from Alexandria via LeMat-Bulk describes a relaxed structure of Sc2TiCuO. The functional is PBE-GGA.

For the total magnetization, the calculation gives 0.00 μB per formula unit. Its uncorrected formation energy is -1.2041 eV per atom.

The structure belongs to space group P4/mmm (No. 123); the cell edges are 4.322, 4.322 and 4.113 Å and the angles 90.00°, 90.00° and 90.00°. The distinct sites, in fractional coordinates, are Sc at (0.000, 0.500, 0.000), Ti at (0.000, 0.000, 0.500), Cu at (0.500, 0.500, 0.500) and O at (0.000, 0.000, 0.000).


# 4
This record from Alexandria via LeMat-Bulk describes a relaxed structure of Cr2Fe. The functional is PBE-GGA.

For the total magnetization, the calculation gives 0.93 μB per formula unit. The calculation puts the formation energy from the elements at 0.37 eV/atom.

The structure belongs to space group P-62m (No. 189); the cell edges are 5.7030, 5.7030 and 3.7920 Å and the angles 90.00°, 90.00° and 120.00°. The distinct sites, in fractional coordinates, are Cr at (0.0000, 0.2535, 0.0000), Cr at (0.0000, 0.5743, 0.5000), Fe at (0.0000, 0.0000, 0.5000) and Fe at (0.3333, 0.6667, 0.0000).


# 5
This record from Alexandria via LeMat-Bulk describes a relaxed structure of AlGePd4. The functional is PBE-GGA.

For the total magnetization, the calculation gives 0.00 μB per formula unit. The calculation puts the formation energy from the elements at -0.52 eV/atom.

The structure belongs to space group P2_1/m (No. 11); the cell edges are 4.986, 5.398 and 6.928 Å and the angles 90.00°, 93.43° and 90.00°. The distinct sites, in fractional coordinates, are Al at (0.162, 0.250, 0.114), Ge at (0.152, 0.750, 0.538), Pd at (0.184, 0.750, 0.185), Pd at (0.324, 0.502, 0.831) and Pd at (0.344, 0.250, 0.466).


# 6
This record from Alexandria via LeMat-Bulk describes a relaxed structure of Y2CdAg6. The functional is PBE-GGA.

For the total magnetization, the calculation gives 0.00 μB per formula unit. The calculation puts the formation energy from the elements at -0.19 eV/atom.

The structure belongs to space group C2/m (No. 12); the cell edges are 5.292, 15.645 and 5.193 Å and the angles 90.00°, 118.76° and 90.00°. The distinct sites, in fractional coordinates, are Y at (0.000, 0.161, 0.000), Cd at (0.000, 0.000, 0.500), Ag at (0.135, 0.500, 0.813) and Ag at (0.163, 0.332, 0.332).


# 7
This record from Alexandria via LeMat-Bulk describes a relaxed structure of YBe2Os. The functional is PBE-GGA.

For the total magnetization, the calculation gives 0.00 μB per formula unit. The calculation puts the formation energy from the elements at 0.33 eV/atom.

The structure belongs to space group P4/mmm (No. 123); the cell edges are 4.176, 4.176 and 3.328 Å and the angles 90.00°, 90.00° and 90.00°. The distinct sites, in fractional coordinates, are Y at (0.000, 0.000, 0.000), Be at (0.000, 0.500, 0.500) and Os at (0.500, 0.500, 0.000).


# 8
This record from Alexandria via LeMat-Bulk describes a relaxed structure of Dy12Ho3Sb5. The functional is PBE-GGA.

For the total magnetization, the calculation gives 0.01 μB per formula unit. Its uncorrected formation energy is 0.1090 eV per atom.

The structure belongs to space group Ia-3d (No. 230); the cell edges are 18.268, 18.268 and 18.268 Å and the angles 90.00°, 90.00° and 90.00°. The distinct sites, in fractional coordinates, are Dy at (0.024, 0.075, 0.647), Ho at (0.000, 0.250, 0.125), Sb at (0.000, 0.000, 0.000) and Sb at (0.000, 0.250, 0.375).


# 9
This record from Alexandria via LeMat-Bulk describes a relaxed structure of LaTm3Mg4. The functional is PBE-GGA.

For the total magnetization, the calculation gives 0.00 μB per formula unit. The calculation puts the formation energy from the elements at -0.07 eV/atom.

The structure belongs to space group P4/mmm (No. 123); the cell edges are 5.371, 5.371 and 7.626 Å and the angles 90.00°, 90.00° and 90.00°. The distinct sites, in fractional coordinates, are La at (0.000, 0.000, 0.000), Tm at (0.000, 0.000, 0.500), Tm at (0.500, 0.500, 0.000), Tm at (0.500, 0.500, 0.500) and Mg at (0.000, 0.500, 0.259).


# 10
This record from Alexandria via LeMat-Bulk describes a relaxed structure of Tl2InN. The functional is PBE-GGA.

For the total magnetization, the calculation gives 0.00 μB per formula unit. Its uncorrected formation energy is 0.6294 eV per atom.

The structure belongs to space group I-42d (No. 122); the cell edges are 7.642, 7.642 and 6.464 Å and the angles 90.00°, 90.00° and 90.00°. The distinct sites, in fractional coordinates, are Tl at (0.165, 0.750, 0.125), In at (0.000, 0.000, 0.500) and N at (0.000, 0.000, 0.000).


# 11
This record from Alexandria via LeMat-Bulk describes a relaxed structure of VB2I. The functional is PBE-GGA.

For the total magnetization, the calculation gives 0.00 μB per formula unit. Its uncorrected formation energy is 1.3419 eV per atom.

The structure belongs to space group I-42d (No. 122); the cell edges are 5.285, 5.285 and 9.978 Å and the angles 90.00°, 90.00° and 90.00°. The distinct sites, in fractional coordinates, are V at (0.000, 0.000, 0.000), B at (0.200, 0.250, 0.125) and I at (0.000, 0.000, 0.500).


# 12
This record from Alexandria via LeMat-Bulk describes a relaxed structure of ScHg3W. The functional is PBE-GGA.

For the total magnetization, the calculation gives 0.00 μB per formula unit. The calculation puts the formation energy from the elements at 0.98 eV/atom.

The structure belongs to space group Pm-3m (No. 221); the cell edges are 5.199, 5.199 and 5.199 Å and the angles 90.00°, 90.00° and 90.00°. The distinct sites, in fractional coordinates, are Sc at (0.000, 0.000, 0.000), Hg at (0.000, 0.500, 0.500) and W at (0.500, 0.500, 0.500).


# 13
This record from Alexandria via LeMat-Bulk describes a relaxed structure of ScTl2Hg. The functional is PBE-GGA.

For the total magnetization, the calculation gives 0.00 μB per formula unit. The calculation puts the formation energy from the elements at 0.02 eV/atom.

The structure belongs to space group Cmmm (No. 65); the cell edges are 3.769, 5.847 and 9.530 Å and the angles 90.00°, 90.00° and 90.00°. The distinct sites, in fractional coordinates, are Sc at (0.000, 0.000, 0.000), Tl at (0.000, 0.500, 0.249) and Hg at (0.000, 0.000, 0.500).


# 14
This record from Alexandria via LeMat-Bulk describes a relaxed structure of CePaBe. The functional is PBE-GGA.

For the total magnetization, the calculation gives 0.00 μB per formula unit. The calculation puts the formation energy from the elements at 0.19 eV/atom.

The structure belongs to space group Fddd (No. 70, origin choice 2); the cell edges are 5.544, 9.143 and 19.700 Å and the angles 90.00°, 90.00° and 90.00°. The distinct sites, in fractional coordinates, are Ce at (0.125, 0.304, 0.125), Pa at (0.125, 0.125, 0.541) and Be at (0.125, 0.125, 0.003).


# 15
This record from Alexandria via LeMat-Bulk describes a relaxed structure of TlRuCl4. The functional is PBE-GGA.

For the total magnetization, the calculation gives 5.04 μB per formula unit. Its uncorrected formation energy is 0.7509 eV per atom.

The structure belongs to space group F-43m (No. 216); the cell edges are 8.478, 8.478 and 8.478 Å and the angles 90.00°, 90.00° and 90.00°. The distinct sites, in fractional coordinates, are Tl at (0.000, 0.000, 0.000), Ru at (0.250, 0.250, 0.250) and Cl at (0.124, 0.124, 0.624).